## Np2PH3 (PBE)

Data for a relaxed structure of Np2PH3.

Total moment: 7.9 μB/f.u.
DOS at the Fermi energy: 2.003 states/eV per atom
E_tot: -7.360 eV/atom

Cell lengths 3.820, 3.820, 6.195 Å; angles 90.00, 90.00, 120.00 degrees
Site moments in Bohr magnetons follow the coordinates.
Positions (direct):
Np 0.667 0.333 0.721  3.77
Np 0.333 0.667 0.279  3.77
H 0.333 0.667 0.645  -0.02
H 0.667 0.333 0.355  -0.02
H 0.000 0.000 0.500  -0.03
P 0.000 0.000 0.000  -0.12